# 1
First-principles (PBE-GGA) data for an optimized crystal structure of Pu2SnCl8, as listed in the Alexandria database.

a = 21.446 Å, b = 4.008 Å, c = 7.878 Å
α = 90.00°, β = 96.54°, γ = 90.00°
Space group C2/m (No. 12)
Inequivalent atoms, fractional coordinates:
Pu 0.159 0.000 0.345
Sn 0.000 0.500 0.000
Cl 0.022 0.000 0.254
Cl 0.117 0.500 0.535
Cl 0.134 0.500 0.077
Cl 0.243 0.000 0.666

Summary:
Formation energy without anion corrections   -1.626 eV/atom
Calculated volume   30.58 A^3/atom

# 2
First-principles (PBE-GGA) data for an optimized crystal structure of GeP2NCl, as listed in the Alexandria database.

a = 4.774 Å, b = 4.774 Å, c = 4.601 Å
α = 90.00°, β = 90.00°, γ = 90.00°
Space group P4/mmm (No. 123)
Inequivalent atoms, fractional coordinates:
Ge 0.000 0.000 0.000
P 0.000 0.500 0.000
N 0.500 0.500 0.500
Cl 0.000 0.000 0.500

Summary:
Formation energy without anion corrections   1.895 eV/atom
Offset from the most stable computed form   1.084 eV/atom
Calculated volume   20.97 A^3/atom

# 3
First-principles (PBE-GGA) data for an optimized crystal structure of VTe2Au, as listed in the Alexandria database.

a = 6.188 Å, b = 6.188 Å, c = 12.663 Å
α = 90.00°, β = 90.00°, γ = 90.00°
Space group I-42d (No. 122)
Inequivalent atoms, fractional coordinates:
V 0.000 0.000 0.000
Te 0.233 0.250 0.125
Au 0.000 0.000 0.500

Summary:
Formation energy without anion corrections   -0.027 eV/atom
Offset from the most stable computed form   0.081 eV/atom
Calculated volume   30.31 A^3/atom